# La2Y2Ru | the Alexandria database | PBE | optimized geometry
# energy relative to the elements = -0.1573 eV/atom
data_La2Y2Ru
_cell_length_a 12.299
_cell_length_b 12.299
_cell_length_c 6.074
_cell_angle_alpha 91.79
_cell_angle_beta 91.79
_cell_angle_gamma 20.34
_space_group_name_H-M_alt 'P 1'
_space_group_IT_number 1
_space_group_name_Hall 'P 1'
loop_
_atom_site_label
_atom_site_type_symbol
_atom_site_fract_x
_atom_site_fract_y
_atom_site_fract_z
_atom_site_occupancy
La1 La 0.052 0.052 0.259 1
La2 La 0.310 0.310 0.537 1
La3 La 0.690 0.690 0.463 1
La4 La 0.948 0.948 0.741 1
Y1 Y 0.189 0.189 0.988 1
Y2 Y 0.430 0.430 0.225 1
Y3 Y 0.570 0.570 0.775 1
Y4 Y 0.811 0.811 0.012 1
Ru1 Ru 0.127 0.127 0.595 1
Ru2 Ru 0.873 0.873 0.405 1


# FeSbN2 | the Alexandria database | PBE | optimized geometry
# formation energy from raw total energies = 0.507 eV per atom
data_FeSbN2
_cell_length_a 5.573
_cell_length_b 5.573
_cell_length_c 5.573
_cell_angle_alpha 126.60
_cell_angle_beta 126.60
_cell_angle_gamma 78.90
_space_group_name_H-M_alt 'P 1'
_space_group_IT_number 1
_space_group_name_Hall 'P 1'
loop_
_atom_site_label
_atom_site_type_symbol
_atom_site_fract_x
_atom_site_fract_y
_atom_site_fract_z
_atom_site_occupancy
Fe1 Fe 0.000 0.000 0.000 1
Fe2 Fe 0.750 0.250 0.500 1
Sb1 Sb 0.250 0.750 0.500 1
Sb2 Sb 0.500 0.500 0.000 1
N1 N 0.029 0.625 0.904 1
N2 N 0.375 0.279 0.404 1
N3 N 0.721 0.125 0.096 1
N4 N 0.875 0.971 0.596 1


# Li2PuCdSe4 | the Alexandria database | PBE | optimized geometry
# formation energy from raw total energies = -1.047 eV per atom
data_Li2PuCdSe4
_cell_length_a 6.882
_cell_length_b 4.069
_cell_length_c 6.918
_cell_angle_alpha 90.00
_cell_angle_beta 110.18
_cell_angle_gamma 90.00
_space_group_name_H-M_alt 'P 1'
_space_group_IT_number 1
_space_group_name_Hall 'P 1'
loop_
_atom_site_label
_atom_site_type_symbol
_atom_site_fract_x
_atom_site_fract_y
_atom_site_fract_z
_atom_site_occupancy
Li1 Li 0.000 0.000 0.000 1
Li2 Li 0.500 0.500 0.000 1
Pu1 Pu 0.000 0.500 0.500 1
Cd1 Cd 0.500 0.000 0.500 1
Se1 Se 0.242 0.000 0.760 1
Se2 Se 0.251 0.500 0.252 1
Se3 Se 0.749 0.500 0.748 1
Se4 Se 0.758 0.000 0.240 1


# Ho7Sc3 | the Alexandria database | PBE | optimized geometry
# energy relative to the elements = 0.0420 eV/atom
data_Ho7Sc3
_cell_length_a 9.119
_cell_length_b 9.119
_cell_length_c 6.894
_cell_angle_alpha 101.22
_cell_angle_beta 101.22
_cell_angle_gamma 30.96
_space_group_name_H-M_alt 'P 1'
_space_group_IT_number 1
_space_group_name_Hall 'P 1'
loop_
_atom_site_label
_atom_site_type_symbol
_atom_site_fract_x
_atom_site_fract_y
_atom_site_fract_z
_atom_site_occupancy
Ho1 Ho 0.000 0.000 0.000 1
Ho2 Ho 0.200 0.200 0.603 1
Ho3 Ho 0.398 0.398 0.197 1
Ho4 Ho 0.401 0.401 0.700 1
Ho5 Ho 0.599 0.599 0.300 1
Ho6 Ho 0.602 0.602 0.803 1
Ho7 Ho 0.800 0.800 0.397 1
Sc1 Sc 0.000 0.000 0.500 1
Sc2 Sc 0.202 0.202 0.100 1
Sc3 Sc 0.798 0.798 0.900 1


| no. | N(E_F) (states/eV/f.u.) | volume (Å³ per cell) |
| --- | --- | --- |
| 1 | 6.2 | 319.2 |
| 2 | 2.6 | 107.9 |
| 3 | 10.3 | 181.8 |
| 4 | 14.7 | 288.8 |